Record 1
Compound: Ti6BeBi2
Source: the Alexandria database
Functional: PBE
Structure: optimized geometry Values from VASP.

Values from the calculation:
Uncorrected energy in eV per cell: -60.5
Total magnetic moment in μB/f.u.: 0.00
Calculated formation energy in eV per atom: -0.18
Space-group type: P-62m, No. 189
Energy above the lowest structure with this stoichiometry in eV/f.u.: 0.00

The structure in Quantum ESPRESSO input format:
```
&SYSTEM
  ibrav = 0, nat = 9, ntyp = 3
/
ATOMIC_SPECIES
Ti 47.87 Ti.upf
Be 9.01 Be.upf
Bi 208.98 Bi.upf
CELL_PARAMETERS angstrom
-1.059 -1.822 -2.970
6.562 -3.044 -0.473
-5.227 -3.233 3.847
ATOMIC_POSITIONS angstrom
Ti 3.616 -2.834 -1.784
Ti -0.038 -3.221 -0.243
Ti -3.832 -2.955 0.946
Ti 1.452 -0.673 -0.105
Ti 1.040 -4.889 2.628
Ti 5.406 -3.759 0.377
Be -0.529 -0.911 -1.485
Bi -1.296 -3.170 2.407
Bi 2.633 -3.108 0.967
```

---

Record 2
Compound: TiBe2Bi
Source: the Alexandria database
Functional: PBE
Structure: optimized geometry Values from VASP.

Values from the calculation:
Uncorrected energy in eV per cell: -33.4
Total magnetic moment in μB/f.u.: 0.00
Calculated formation energy in eV per atom: 0.63
Space-group type: I-42d, No. 122

The structure in Quantum ESPRESSO input format:
```
&SYSTEM
  ibrav = 0, nat = 8, ntyp = 3
/
ATOMIC_SPECIES
Be 9.01 Be.upf
Bi 208.98 Bi.upf
Ti 47.87 Ti.upf
CELL_PARAMETERS angstrom
7.100 0.000 0.000
0.000 7.100 0.000
3.550 3.550 2.717
ATOMIC_POSITIONS angstrom
Be 5.321 1.775 0.679
Be 1.779 5.325 0.679
Be 5.325 5.329 2.038
Be 8.875 8.871 2.038
Bi 0.000 0.000 0.000
Bi 7.100 3.550 1.358
Ti 3.550 3.550 0.000
Ti 3.550 7.100 1.358
```

---

Record 3
Compound: Ti3BeBi
Source: the Alexandria database
Functional: PBE
Structure: optimized geometry Values from VASP.

Values from the calculation:
Uncorrected energy in eV per cell: -23.7
Total magnetic moment in μB/f.u.: 1.49
Calculated formation energy in eV per atom: 1.52
Space-group type: Pm-3m, No. 221
Energy above the lowest structure with this stoichiometry in eV/f.u.: 7.61

The structure in Quantum ESPRESSO input format:
```
&SYSTEM
  ibrav = 0, nat = 5, ntyp = 3
/
ATOMIC_SPECIES
Be 9.01 Be.upf
Bi 208.98 Bi.upf
Ti 47.87 Ti.upf
CELL_PARAMETERS angstrom
5.104 0.000 0.000
0.000 5.104 0.000
0.000 0.000 5.104
ATOMIC_POSITIONS angstrom
Be 2.552 2.552 2.552
Bi 0.000 0.000 0.000
Ti 0.000 2.552 0.000
Ti 0.000 0.000 2.552
Ti 2.552 0.000 0.000
```